Record 1
Here is crystalline AcGaSbRh at its relaxed geometry from Alexandria. Energies are from GGA-PBE.

Computed properties:
Formation energy from raw total energies ... -44.9 kJ/mol of atoms

a b c (Å): 5.0929 5.0929 5.0929
angles (deg): 60.00 60.00 60.00
Positions (direct):
Ac (0.0000, 0.0000, 0.0000)
Ga (0.7500, 0.7500, 0.7500)
Sb (0.5000, 0.5000, 0.5000)
Rh (0.2500, 0.2500, 0.2500)

Record 2
Here is crystalline AcScGaRh at its relaxed geometry from Alexandria. Energies are from GGA-PBE.

Computed properties:
Calculated formation energy ... -0.42 eV per atom

a b c (Å): 5.0851 5.0851 5.0851
angles (deg): 60.00 60.00 60.00
Positions (direct):
Ac (0.0000, 0.0000, 0.0000)
Sc (0.5000, 0.5000, 0.5000)
Ga (0.7500, 0.7500, 0.7500)
Rh (0.2500, 0.2500, 0.2500)

no.,DOS(E_F) (states/eV/cell),total magnetic moment (μB/f.u.)
1,0.535,0.00
2,4.156,0.00